First-principles (PBE) data for an optimized crystal structure of GdThZr, as listed in the Open Quantum Materials Database.

a b c (Å): 7.345 7.345 7.345
angles (deg): 90.00 90.00 90.00
Space group F-43m (No. 216)
Symmetry-distinct sites (fractional):
Gd (0.000, 0.000, 0.000) (multiplicity 4)
Th (0.000, 0.000, 0.500) (multiplicity 4)
Zr (0.250, 0.250, 0.250) (multiplicity 4)

- ΔH_f (0 K): 0.71 eV per atom
- E: -73.95 eV per cell